# HfTiMo2I

Crystalline HfTiMo2I at its relaxed geometry (GGA-PBE, Alexandria via LeMat-Bulk).

Space group: P4/mmm
VASP energy: -6.31 eV/atom
Mass density: 7196 kg/m³

Lattice parameters (Å, degrees): 4.839 4.839 5.372 90.00 90.00 90.00
Atoms (fractional coordinates):
Hf 0.000 0.000 0.000
Ti 0.500 0.500 0.500
Mo 0.000 0.500 0.000
Mo 0.500 0.000 0.000
I 0.000 0.000 0.500